(1)
AsRuBr4 | PBE | optimized geometry

a = 6.094 Å, b = 6.094 Å, c = 6.094 Å
α = 60.00°, β = 60.00°, γ = 60.00°
Last column: magnetic moment on the atom in μB.
Fractional positions:
Br 0.376 0.376 0.872  -0.08
As 0.000 0.000 0.000  -0.54
Br 0.376 0.376 0.376  -0.08
Ru 0.750 0.750 0.750  2.77
Br 0.872 0.376 0.376  -0.08
Br 0.376 0.872 0.376  -0.08

Summary:
- Space-group type: F-43m
- Formation energy without anion corrections: 1421 meV/atom

(2)
AsRu2Br | PBE | optimized geometry

a = 4.987 Å, b = 4.987 Å, c = 4.523 Å
α = 81.22°, β = 81.22°, γ = 35.68°
Fractional positions:
Br 0.250 0.250 0.191
Ru 0.013 0.013 0.018
As 0.486 0.486 0.594
Ru 0.751 0.751 0.698

Summary:
- Energy above the lowest structure with this stoichiometry: 293 meV per atom
- Space-group type: Cm
- Formation energy without anion corrections: 486 meV/atom

(3)
AsRu2Br | PBE | optimized geometry

a = 9.931 Å, b = 9.931 Å, c = 9.931 Å
α = 17.26°, β = 17.26°, γ = 17.26°
Fractional positions:
Br 0.728 0.728 0.728
Ru 0.254 0.254 0.254
Ru 0.993 0.993 0.993
As 0.525 0.525 0.525

Summary:
- Energy above the lowest structure with this stoichiometry: 138 meV per atom
- Space-group type: R3m
- Formation energy without anion corrections: 331 meV/atom